# 1
La2TiMnS6 | Alexandria via LeMat-Bulk | PBE-GGA | relaxed; crystal system = monoclinic; symmetry = P2_1/c, No. 14; total moment = 4.986 μB per formula unit; V = 427.9 Å³/cell; ΔE_f (raw) = -1616.1 meV per atom
1.0
6.431 0.000 -0.043
0.000 7.119 0.000
0.001 0.000 9.347
La Mn S Ti
4 2 12 2
Cartesian
0.231 6.417 2.322
6.201 0.701 6.982
3.447 4.260 6.974
2.985 2.858 2.330
0.000 3.559 0.000
3.216 0.000 4.652
3.894 0.144 2.296
4.418 2.255 5.116
1.202 1.304 0.464
0.679 3.415 6.990
2.538 6.974 7.008
5.295 5.730 5.119
5.753 3.704 2.314
4.354 2.171 8.837
2.014 4.864 4.188
5.230 5.814 8.840
1.138 1.389 4.185
2.079 4.948 0.467
3.216 0.000 -0.021
0.000 3.559 4.673

# 2
VHgPt6 | Alexandria via LeMat-Bulk | PBE-GGA | relaxed; crystal system = tetragonal; ΔE_f = -2.187 eV per formula unit; symmetry = P4/mmm, No. 123; total moment = 0.161 μB per formula unit; V = 127.1 Å³/cell
1.0
-2.456 -2.821 1.377
-1.154 -0.815 -3.727
5.858 -5.408 -0.633
Pt V Hg
6 1 1
Cartesian
-1.805 -1.818 -1.175
1.124 -4.522 -1.491
0.997 -1.861 -2.033
3.707 -4.362 -2.326
0.347 -2.864 0.519
3.056 -5.365 0.226
2.929 -2.704 -0.316
0.000 0.000 0.000

# 3
La2HIrAu | Alexandria via LeMat-Bulk | PBE-GGA | relaxed; crystal system = tetragonal; raw total energy = -5.72 eV/atom; symmetry = P4/mmm, No. 123; total moment = 0.000 μB per formula unit; V = 103.6 Å³/cell
1.0
5.317 0.000 0.000
0.000 5.317 0.000
0.000 0.000 3.664
Ir La H Au
1 2 1 1
Cartesian
0.000 0.000 1.832
2.658 0.000 0.000
0.000 2.658 0.000
0.000 0.000 0.000
2.658 2.658 1.832

# 4
K2Pm2GaO6 | Alexandria via LeMat-Bulk | PBE-GGA | relaxed; crystal system = monoclinic; symmetry = C2/m, No. 12; total moment = 1.129 μB per formula unit; V = 196.1 Å³/cell; ΔE_f (raw) = -2178.7 meV per atom
1.0
-5.856 1.026 0.487
2.019 -5.480 -1.215
1.403 0.006 6.466
Ga O K Pm
1 6 2 2
Cartesian
0.701 0.003 3.233
-2.002 -3.407 3.758
-1.054 0.136 4.490
-3.851 -2.542 1.782
-0.432 -1.041 1.979
1.417 -1.905 3.956
-1.380 -4.584 1.248
0.793 -4.467 -0.950
-4.630 0.013 0.222
-2.506 -1.159 3.148
0.072 -3.289 2.590

# 5
Nd4Au2I3 | Alexandria via LeMat-Bulk | PBE-GGA | relaxed; crystal system = monoclinic; symmetry = C2/m, No. 12; total moment = 0.000 μB per formula unit; V = 317.9 Å³/cell; ΔE_f (raw) = -975.6 meV per atom
1.0
-1.189 1.799 3.713
-2.369 -3.141 -1.719
10.696 -13.507 9.987
Nd Au I
4 2 3
Cartesian
1.931 -2.146 6.622
5.208 -12.703 5.359
7.444 -13.387 8.888
-0.305 -1.462 3.093
0.187 -4.228 2.108
6.952 -10.621 9.873
2.676 -5.231 5.873
0.000 0.000 0.000
4.463 -9.618 6.108

# 6
LaDyY2Er2 | Alexandria via LeMat-Bulk | PBE-GGA | relaxed; crystal system = orthorhombic; ΔE_f = 1.618 eV per formula unit; symmetry = Pnnm, No. 58; total moment = 0.000 μB per formula unit; V = 398.9 Å³/cell
1.0
-3.375 0.418 0.184
-0.685 -6.258 1.658
1.496 4.439 17.374
Er Y Dy La
4 4 2 2
Cartesian
0.022 -1.154 3.021
-1.698 -3.154 7.542
-0.865 1.753 11.674
0.790 -0.665 16.011
-1.419 -0.202 5.955
-1.144 -1.199 13.261
1.066 2.255 14.432
-0.254 -4.074 4.600
0.748 2.219 8.687
-2.030 -2.920 0.921
-1.281 -0.700 9.608
0.000 0.000 0.000

# 7
Dy4Tm6Mg | Alexandria via LeMat-Bulk | PBE-GGA | relaxed; crystal system = tetragonal; ΔE_f = 3.109 eV per formula unit; symmetry = I-42m, No. 121; total moment = 0.000 μB per formula unit; V = 346.9 Å³/cell
1.0
6.426 0.000 0.000
0.000 6.426 0.000
-3.213 -3.213 8.402
Dy Tm Mg
4 6 1
Cartesian
1.130 1.130 2.280
-2.083 2.083 6.121
5.296 5.296 2.280
2.083 -2.083 6.121
1.176 1.176 5.592
2.037 4.389 2.810
4.389 2.037 2.810
-1.176 -1.176 5.592
0.000 3.213 0.000
3.213 0.000 0.000
3.213 3.213 0.000

# 8
Ac2H6IrRu | Alexandria via LeMat-Bulk | PBE-GGA | relaxed; crystal system = tetragonal; raw total energy = -5.06 eV/atom; symmetry = I4/mmm, No. 139; total moment = 0.000 μB per formula unit; V = 119.0 Å³/cell
1.0
5.306 0.000 -0.001
0.000 5.306 -0.001
-2.652 -2.652 4.229
H Ac Ru Ir
6 2 1 1
Cartesian
2.653 2.656 2.477
1.303 -1.300 4.227
-1.302 -1.300 4.228
1.303 1.306 4.226
-1.302 1.306 4.227
0.000 0.003 1.749
0.000 2.656 2.113
2.653 0.003 2.113
2.653 -2.650 4.227
0.000 0.003 4.227

What is the formula in the third record?
La2HIrAu